[1]
DFT (PBE) results for TlCdTe3 after structural relaxation.

Lattice parameters (Å, degrees): 5.6818 5.6818 5.6818 90.00 90.00 90.00
With the nearest neighbours (Å) after each atom.
Space group Pm-3m (No. 221)
Inequivalent atoms, fractional coordinates:
Tl 0.0000 0.0000 0.0000 x1  12 Te 4.02
Cd 0.5000 0.5000 0.5000 x1  6 Te 2.84
Te 0.0000 0.5000 0.5000 x3  2 Cd 2.84

Properties
Calculated volume: 36.69 Å³/atom
Crystal system: cubic
Density: 6.3 Mg/m³
Size of the total moment: 0.00 μB/atom
Raw formation energy: 0.1953 eV per atom
DOS at the Fermi energy: 5.06 states/eV/cell

[2]
DFT (PBE) results for Tl2CdTe after structural relaxation.

Lattice parameters (Å, degrees): 3.6521 3.6521 32.1696 90.00 90.00 120.00
With the nearest neighbours (Å) after each atom.
Space group R-3m (No. 166, hexagonal axes)
Inequivalent atoms, fractional coordinates:
Tl 0.0000 0.0000 0.2480 x6  3 Te 3.36, 3 Cd 3.46, 6 Tl 3.65
Cd 0.0000 0.0000 0.0000 x3  6 Tl 3.46, 6 Cd 3.65
Te 0.0000 0.0000 0.5000 x3  6 Tl 3.36, 6 Te 3.65

Properties
Calculated volume: 30.97 Å³/atom
Crystal system: trigonal
Density: 8.7 Mg/m³
Size of the total moment: 0.00 μB/atom
Raw formation energy: 0.0289 eV per atom
DOS at the Fermi energy: 4.82 states/eV/cell